# 1
# PBE PmSmB, optimized geometry
data_PmSmB
_cell_length_a 4.630
_cell_length_b 4.630
_cell_length_c 4.630
_cell_angle_alpha 60.00
_cell_angle_beta 60.00
_cell_angle_gamma 60.00
_space_group_name_H-M_alt 'P 1'
_space_group_IT_number 1
_space_group_name_Hall 'P 1'
loop_
_atom_site_label
_atom_site_type_symbol
_atom_site_fract_x
_atom_site_fract_y
_atom_site_fract_z
Sm1 Sm 0.750 0.750 0.750
B1 B 0.000 0.000 0.000
Pm1 Pm 0.250 0.250 0.250
# - space group = F-43m (216)
# - ΔE to the lowest computed polymorph (meV per atom) = 0


# 2
# PBE Sm2Ho2CI2Br3, optimized geometry
data_Sm2Ho2CI2Br3
_cell_length_a 9.453
_cell_length_b 9.453
_cell_length_c 8.385
_cell_angle_alpha 101.34
_cell_angle_beta 101.34
_cell_angle_gamma 23.93
_space_group_name_H-M_alt 'P 1'
_space_group_IT_number 1
_space_group_name_Hall 'P 1'
loop_
_atom_site_label
_atom_site_type_symbol
_atom_site_fract_x
_atom_site_fract_y
_atom_site_fract_z
Ho1 Ho 0.632 0.632 0.063
Ho2 Ho 0.368 0.368 0.937
Br1 Br 0.830 0.830 0.159
Br2 Br 0.500 0.500 0.500
Br3 Br 0.170 0.170 0.841
C1 C 0.500 0.500 0.000
I1 I 0.169 0.169 0.343
I2 I 0.831 0.831 0.657
Sm1 Sm 0.002 0.002 0.798
Sm2 Sm 0.998 0.998 0.202
# - space group = C2/m (12)
# - ΔE to the lowest computed polymorph (meV per atom) = 8


# 3
# PBE Pr2IBr2N, optimized geometry
data_Pr2IBr2N
_cell_length_a 9.721
_cell_length_b 9.721
_cell_length_c 12.023
_cell_angle_alpha 123.51
_cell_angle_beta 123.51
_cell_angle_gamma 24.42
_space_group_name_H-M_alt 'P 1'
_space_group_IT_number 1
_space_group_name_Hall 'P 1'
loop_
_atom_site_label
_atom_site_type_symbol
_atom_site_fract_x
_atom_site_fract_y
_atom_site_fract_z
Br1 Br 0.671 0.671 0.511
Br2 Br 0.214 0.214 0.124
Br3 Br 0.786 0.786 0.876
Br4 Br 0.329 0.329 0.489
N1 N 0.572 0.572 0.154
N2 N 0.428 0.428 0.846
I1 I 0.044 0.044 0.731
I2 I 0.956 0.956 0.269
Pr1 Pr 0.135 0.135 0.288
Pr2 Pr 0.865 0.865 0.712
Pr3 Pr 0.423 0.423 0.039
Pr4 Pr 0.577 0.577 0.961
# - space group = C2/m (12)
# - ΔE to the lowest computed polymorph (meV per atom) = 9


# 4
# PBE Li4CdO3, optimized geometry
data_Li4CdO3
_cell_length_a 8.329
_cell_length_b 8.329
_cell_length_c 8.329
_cell_angle_alpha 22.77
_cell_angle_beta 22.77
_cell_angle_gamma 22.77
_space_group_name_H-M_alt 'P 1'
_space_group_IT_number 1
_space_group_name_Hall 'P 1'
loop_
_atom_site_label
_atom_site_type_symbol
_atom_site_fract_x
_atom_site_fract_y
_atom_site_fract_z
Li1 Li 0.807 0.807 0.807
Li2 Li 0.417 0.417 0.417
Li3 Li 0.583 0.583 0.583
Li4 Li 0.193 0.193 0.193
O1 O 0.500 0.500 0.500
O2 O 0.725 0.725 0.725
O3 O 0.275 0.275 0.275
Cd1 Cd 0.000 0.000 0.000
# - space group = R-3m (166)
# - E_tot (eV for the cell shown) = -36.46


# 5
# PBE LaPmNO, optimized geometry
data_LaPmNO
_cell_length_a 4.157
_cell_length_b 5.207
_cell_length_c 7.207
_cell_angle_alpha 90.00
_cell_angle_beta 90.00
_cell_angle_gamma 90.00
_space_group_name_H-M_alt 'P 1'
_space_group_IT_number 1
_space_group_name_Hall 'P 1'
loop_
_atom_site_label
_atom_site_type_symbol
_atom_site_fract_x
_atom_site_fract_y
_atom_site_fract_z
O1 O 0.500 0.439 0.162
O2 O 0.500 0.939 0.838
N1 N 0.000 0.938 0.330
N2 N 0.000 0.438 0.670
La1 La 0.000 0.438 0.333
La2 La 0.000 0.938 0.667
Pm1 Pm 0.500 0.939 0.167
Pm2 Pm 0.500 0.439 0.833
# - space group = Pmma (51)
# - ΔE to the lowest computed polymorph (meV per atom) = 29


# 6
# PBE HfTaGa, optimized geometry
data_HfTaGa
_cell_length_a 6.485
_cell_length_b 5.317
_cell_length_c 5.225
_cell_angle_alpha 75.92
_cell_angle_beta 52.68
_cell_angle_gamma 51.40
_space_group_name_H-M_alt 'P 1'
_space_group_IT_number 1
_space_group_name_Hall 'P 1'
loop_
_atom_site_label
_atom_site_type_symbol
_atom_site_fract_x
_atom_site_fract_y
_atom_site_fract_z
Ga1 Ga 0.250 0.250 0.250
Ga2 Ga 0.750 0.750 0.750
Ta1 Ta 0.350 0.350 0.650
Ta2 Ta 0.650 0.650 0.350
Hf1 Hf 0.843 0.157 0.843
Hf2 Hf 0.157 0.843 0.157
# - space group = Fmmm (69)
# - ΔE to the lowest computed polymorph (meV per atom) = 0


# 7
# PBE AlSnPd, optimized geometry
data_AlSnPd
_cell_length_a 7.043
_cell_length_b 7.043
_cell_length_c 4.094
_cell_angle_alpha 90.00
_cell_angle_beta 90.00
_cell_angle_gamma 120.00
_space_group_name_H-M_alt 'P 1'
_space_group_IT_number 1
_space_group_name_Hall 'P 1'
loop_
_atom_site_label
_atom_site_type_symbol
_atom_site_fract_x
_atom_site_fract_y
_atom_site_fract_z
Al1 Al 0.000 0.577 0.000
Al2 Al 0.423 0.423 0.000
Al3 Al 0.577 0.000 0.000
Sn1 Sn 0.333 0.667 0.500
Sn2 Sn 0.000 0.000 0.000
Sn3 Sn 0.667 0.333 0.500
Pd1 Pd 0.750 0.750 0.500
Pd2 Pd 0.250 0.000 0.500
Pd3 Pd 0.000 0.250 0.500
# - space group = P-62m (189)
# - E_tot (eV for the cell shown) = -39.73


# 8
# PBE LiLu2Ir, optimized geometry
data_LiLu2Ir
_cell_length_a 4.104
_cell_length_b 4.104
_cell_length_c 12.671
_cell_angle_alpha 90.00
_cell_angle_beta 90.00
_cell_angle_gamma 120.00
_space_group_name_H-M_alt 'P 1'
_space_group_IT_number 1
_space_group_name_Hall 'P 1'
loop_
_atom_site_label
_atom_site_type_symbol
_atom_site_fract_x
_atom_site_fract_y
_atom_site_fract_z
Li1 Li 0.667 0.333 0.250
Li2 Li 0.333 0.667 0.750
Lu1 Lu 0.333 0.667 0.382
Lu2 Lu 0.667 0.333 0.882
Lu3 Lu 0.667 0.333 0.618
Lu4 Lu 0.333 0.667 0.118
Ir1 Ir 0.000 0.000 0.250
Ir2 Ir 0.000 0.000 0.750
# - space group = P6_3/mmc (194)
# - ΔE to the lowest computed polymorph (meV per atom) = 68


# 9
# PBE Tl2FeNiBr6, optimized geometry
data_Tl2FeNiBr6
_cell_length_a 7.269
_cell_length_b 7.269
_cell_length_c 7.269
_cell_angle_alpha 60.00
_cell_angle_beta 60.00
_cell_angle_gamma 60.00
_space_group_name_H-M_alt 'P 1'
_space_group_IT_number 1
_space_group_name_Hall 'P 1'
loop_
_atom_site_label
_atom_site_type_symbol
_atom_site_fract_x
_atom_site_fract_y
_atom_site_fract_z
Br1 Br 0.251 0.749 0.749
Br2 Br 0.251 0.251 0.749
Br3 Br 0.749 0.749 0.251
Br4 Br 0.749 0.251 0.251
Br5 Br 0.251 0.749 0.251
Br6 Br 0.749 0.251 0.749
Ni1 Ni 0.500 0.500 0.500
Tl1 Tl 0.750 0.750 0.750
Tl2 Tl 0.250 0.250 0.250
Fe1 Fe 0.000 0.000 0.000
# - space group = Fm-3m (225)
# - E_tot (eV for the cell shown) = -33.74


# 10
# PBE InMo4AuC2, optimized geometry
data_InMo4AuC2
_cell_length_a 3.121
_cell_length_b 3.121
_cell_length_c 13.828
_cell_angle_alpha 90.00
_cell_angle_beta 90.00
_cell_angle_gamma 120.00
_space_group_name_H-M_alt 'P 1'
_space_group_IT_number 1
_space_group_name_Hall 'P 1'
loop_
_atom_site_label
_atom_site_type_symbol
_atom_site_fract_x
_atom_site_fract_y
_atom_site_fract_z
C1 C 0.333 0.667 0.754
C2 C 0.333 0.667 0.246
In1 In 0.000 0.000 0.500
Mo1 Mo 0.667 0.333 0.673
Mo2 Mo 0.000 0.000 0.834
Mo3 Mo 0.000 0.000 0.166
Mo4 Mo 0.667 0.333 0.327
Au1 Au 0.667 0.333 0.000
# - space group = P-6m2 (187)
# - E_tot (eV for the cell shown) = -67.49


# 11
# PBE Hf8C3S2N3, optimized geometry
data_Hf8C3S2N3
_cell_length_a 3.297
_cell_length_b 3.297
_cell_length_c 22.582
_cell_angle_alpha 90.00
_cell_angle_beta 90.00
_cell_angle_gamma 120.00
_space_group_name_H-M_alt 'P 1'
_space_group_IT_number 1
_space_group_name_Hall 'P 1'
loop_
_atom_site_label
_atom_site_type_symbol
_atom_site_fract_x
_atom_site_fract_y
_atom_site_fract_z
S1 S 0.667 0.333 0.747
S2 S 0.333 0.667 0.253
Hf1 Hf 0.000 0.000 0.829
Hf2 Hf 0.000 0.000 0.667
Hf3 Hf 0.000 0.000 0.171
Hf4 Hf 0.333 0.667 0.057
Hf5 Hf 0.000 0.000 0.333
Hf6 Hf 0.667 0.333 0.559
Hf7 Hf 0.333 0.667 0.441
Hf8 Hf 0.667 0.333 0.943
C1 C 0.667 0.333 0.120
C2 C 0.000 0.000 0.000
C3 C 0.333 0.667 0.880
N1 N 0.000 0.000 0.500
N2 N 0.333 0.667 0.612
N3 N 0.667 0.333 0.388
# - space group = P-3m1 (164)
# - E_tot (eV for the cell shown) = -162.64


# 12
# PBE Ta2AlB2, optimized geometry
data_Ta2AlB2
_cell_length_a 6.033
_cell_length_b 6.033
_cell_length_c 3.308
_cell_angle_alpha 90.00
_cell_angle_beta 90.00
_cell_angle_gamma 149.91
_space_group_name_H-M_alt 'P 1'
_space_group_IT_number 1
_space_group_name_Hall 'P 1'
loop_
_atom_site_label
_atom_site_type_symbol
_atom_site_fract_x
_atom_site_fract_y
_atom_site_fract_z
B1 B 0.791 0.209 0.000
B2 B 0.209 0.791 0.000
Ta1 Ta 0.640 0.360 0.500
Ta2 Ta 0.360 0.640 0.500
Al1 Al 0.000 0.000 0.000
# - space group = Cmmm (65)
# - E_tot (eV for the cell shown) = -43.19


# 13
# PBE BaDyTm, optimized geometry
data_BaDyTm
_cell_length_a 5.751
_cell_length_b 5.751
_cell_length_c 5.751
_cell_angle_alpha 60.00
_cell_angle_beta 60.00
_cell_angle_gamma 60.00
_space_group_name_H-M_alt 'P 1'
_space_group_IT_number 1
_space_group_name_Hall 'P 1'
loop_
_atom_site_label
_atom_site_type_symbol
_atom_site_fract_x
_atom_site_fract_y
_atom_site_fract_z
Ba1 Ba 0.250 0.250 0.250
Tm1 Tm 0.000 0.000 0.000
Dy1 Dy 0.750 0.750 0.750
# - space group = F-43m (216)
# - E_tot (eV for the cell shown) = -8.51


# 14
# PBE ThSb2, optimized geometry
data_ThSb2
_cell_length_a 9.842
_cell_length_b 9.842
_cell_length_c 9.842
_cell_angle_alpha 60.00
_cell_angle_beta 60.00
_cell_angle_gamma 60.00
_space_group_name_H-M_alt 'P 1'
_space_group_IT_number 1
_space_group_name_Hall 'P 1'
loop_
_atom_site_label
_atom_site_type_symbol
_atom_site_fract_x
_atom_site_fract_y
_atom_site_fract_z
Sb1 Sb 0.375 0.375 0.875
Sb2 Sb 0.875 0.375 0.375
Sb3 Sb 0.375 0.375 0.375
Sb4 Sb 0.375 0.875 0.375
Th1 Th 0.500 0.500 0.500
Th2 Th 0.250 0.250 0.250
# - space group = Fd-3m (227)
# - E_tot (eV for the cell shown) = -27.24


# 15
# PBE AcHoIn, optimized geometry
data_AcHoIn
_cell_length_a 5.497
_cell_length_b 5.497
_cell_length_c 5.497
_cell_angle_alpha 60.00
_cell_angle_beta 60.00
_cell_angle_gamma 60.00
_space_group_name_H-M_alt 'P 1'
_space_group_IT_number 1
_space_group_name_Hall 'P 1'
loop_
_atom_site_label
_atom_site_type_symbol
_atom_site_fract_x
_atom_site_fract_y
_atom_site_fract_z
Ho1 Ho 0.250 0.250 0.250
In1 In 0.750 0.750 0.750
Ac1 Ac 0.000 0.000 0.000
# - space group = F-43m (216)
# - ΔE to the lowest computed polymorph (meV per atom) = 514


# 16
# PBE YTlCdSe3, optimized geometry
data_YTlCdSe3
_cell_length_a 14.713
_cell_length_b 4.248
_cell_length_c 11.352
_cell_angle_alpha 90.00
_cell_angle_beta 90.00
_cell_angle_gamma 90.00
_space_group_name_H-M_alt 'P 1'
_space_group_IT_number 1
_space_group_name_Hall 'P 1'
loop_
_atom_site_label
_atom_site_type_symbol
_atom_site_fract_x
_atom_site_fract_y
_atom_site_fract_z
Tl1 Tl 0.754 0.750 0.047
Tl2 Tl 0.254 0.750 0.453
Tl3 Tl 0.246 0.250 0.953
Tl4 Tl 0.746 0.250 0.547
Se1 Se 0.910 0.250 0.873
Se2 Se 0.853 0.250 0.268
Se3 Se 0.647 0.750 0.768
Se4 Se 0.147 0.750 0.732
Se5 Se 0.095 0.250 0.420
Se6 Se 0.590 0.750 0.373
Se7 Se 0.905 0.750 0.580
Se8 Se 0.353 0.250 0.232
Se9 Se 0.410 0.250 0.627
Se10 Se 0.595 0.250 0.080
Se11 Se 0.090 0.750 0.127
Se12 Se 0.405 0.750 0.920
Cd1 Cd 0.522 0.750 0.601
Cd2 Cd 0.022 0.750 0.899
Cd3 Cd 0.978 0.250 0.101
Cd4 Cd 0.478 0.250 0.399
Y1 Y 0.527 0.250 0.848
Y2 Y 0.473 0.750 0.152
Y3 Y 0.027 0.250 0.652
Y4 Y 0.973 0.750 0.348
# - space group = Pnma (62)
# - ΔE to the lowest computed polymorph (meV per atom) = 0


# 17
# PBE GdU, optimized geometry
data_GdU
_cell_length_a 4.397
_cell_length_b 4.397
_cell_length_c 4.397
_cell_angle_alpha 60.00
_cell_angle_beta 60.00
_cell_angle_gamma 60.00
_space_group_name_H-M_alt 'P 1'
_space_group_IT_number 1
_space_group_name_Hall 'P 1'
loop_
_atom_site_label
_atom_site_type_symbol
_atom_site_fract_x
_atom_site_fract_y
_atom_site_fract_z
U1 U 0.500 0.500 0.500
Gd1 Gd 0.000 0.000 0.000
# - space group = Fm-3m (225)
# - E_form (eV/atom) = 1.437
# - ΔE to the lowest computed polymorph (meV per atom) = 931


# 18
# PBE Lu4InGaN2, optimized geometry
data_Lu4InGaN2
_cell_length_a 3.411
_cell_length_b 3.411
_cell_length_c 14.885
_cell_angle_alpha 90.00
_cell_angle_beta 90.00
_cell_angle_gamma 120.00
_space_group_name_H-M_alt 'P 1'
_space_group_IT_number 1
_space_group_name_Hall 'P 1'
loop_
_atom_site_label
_atom_site_type_symbol
_atom_site_fract_x
_atom_site_fract_y
_atom_site_fract_z
Lu1 Lu 0.000 0.000 0.329
Lu2 Lu 0.333 0.667 0.154
Lu3 Lu 0.333 0.667 0.846
Lu4 Lu 0.000 0.000 0.671
Ga1 Ga 0.000 0.000 0.000
N1 N 0.667 0.333 0.756
N2 N 0.667 0.333 0.244
In1 In 0.333 0.667 0.500
# - space group = P-6m2 (187)
# - E_tot (eV for the cell shown) = -49.35


# 19
# PBE ZrNb2Fe, optimized geometry
data_ZrNb2Fe
_cell_length_a 4.576
_cell_length_b 4.576
_cell_length_c 4.576
_cell_angle_alpha 60.00
_cell_angle_beta 60.00
_cell_angle_gamma 60.00
_space_group_name_H-M_alt 'P 1'
_space_group_IT_number 1
_space_group_name_Hall 'P 1'
loop_
_atom_site_label
_atom_site_type_symbol
_atom_site_fract_x
_atom_site_fract_y
_atom_site_fract_z
Nb1 Nb 0.000 0.000 0.000
Nb2 Nb 0.750 0.750 0.750
Zr1 Zr 0.500 0.500 0.500
Fe1 Fe 0.250 0.250 0.250
# - space group = F-43m (216)
# - E_form (eV/atom) = 0.070


# 20
# PBE Al8Co5, optimized geometry
data_Al8Co5
_cell_length_a 8.424
_cell_length_b 8.424
_cell_length_c 8.424
_cell_angle_alpha 34.66
_cell_angle_beta 34.66
_cell_angle_gamma 34.66
_space_group_name_H-M_alt 'P 1'
_space_group_IT_number 1
_space_group_name_Hall 'P 1'
loop_
_atom_site_label
_atom_site_type_symbol
_atom_site_fract_x
_atom_site_fract_y
_atom_site_fract_z
Al1 Al 0.907 0.412 0.907
Al2 Al 0.451 0.451 0.451
Al3 Al 0.549 0.549 0.549
Al4 Al 0.907 0.907 0.412
Al5 Al 0.093 0.093 0.588
Al6 Al 0.093 0.588 0.093
Al7 Al 0.412 0.907 0.907
Al8 Al 0.588 0.093 0.093
Co1 Co 0.352 0.352 0.352
Co2 Co 0.648 0.648 0.648
Co3 Co 0.000 0.000 0.000
Co4 Co 0.170 0.170 0.170
Co5 Co 0.830 0.830 0.830
# - space group = R-3m (166)
# - ΔE to the lowest computed polymorph (meV per atom) = 96


# 21
# PBE TeWSe2SBr, optimized geometry
data_TeWSe2SBr
_cell_length_a 6.376
_cell_length_b 8.061
_cell_length_c 8.428
_cell_angle_alpha 116.86
_cell_angle_beta 106.05
_cell_angle_gamma 96.09
_space_group_name_H-M_alt 'P 1'
_space_group_IT_number 1
_space_group_name_Hall 'P 1'
loop_
_atom_site_label
_atom_site_type_symbol
_atom_site_fract_x
_atom_site_fract_y
_atom_site_fract_z
Br1 Br 0.731 0.636 0.402
Br2 Br 0.269 0.364 0.598
W1 W 0.227 0.000 0.000
W2 W 0.773 0.000 0.000
Te1 Te 0.131 0.329 0.237
Te2 Te 0.869 0.671 0.763
S1 S 0.475 0.780 0.013
S2 S 0.525 0.220 0.987
Se1 Se 0.965 0.155 0.850
Se2 Se 0.035 0.845 0.150
Se3 Se 0.391 0.936 0.724
Se4 Se 0.609 0.064 0.276
# - space group = P-1 (2)
# - ΔE to the lowest computed polymorph (meV per atom) = 12


# 22
# PBE Cs2Nd2O5, optimized geometry
data_Cs2Nd2O5
_cell_length_a 9.810
_cell_length_b 4.525
_cell_length_c 4.525
_cell_angle_alpha 90.00
_cell_angle_beta 90.00
_cell_angle_gamma 90.00
_space_group_name_H-M_alt 'P 1'
_space_group_IT_number 1
_space_group_name_Hall 'P 1'
loop_
_atom_site_label
_atom_site_type_symbol
_atom_site_fract_x
_atom_site_fract_y
_atom_site_fract_z
O1 O 0.500 0.500 0.500
O2 O 0.219 0.000 0.500
O3 O 0.219 0.500 0.000
O4 O 0.781 0.500 0.000
O5 O 0.781 0.000 0.500
Nd1 Nd 0.726 0.500 0.500
Nd2 Nd 0.274 0.500 0.500
Cs1 Cs 0.500 0.000 0.000
Cs2 Cs 0.000 0.000 0.000
# - space group = P4/mmm (123)
# - E_tot (eV for the cell shown) = -54.55